Record 1
Density functional theory data (PBE) for a relaxed structure of RbTl4Au5. Values from VASP.

The structure in Quantum ESPRESSO input format:
```
&SYSTEM
  ibrav = 0, nat = 10, ntyp = 3
/
ATOMIC_SPECIES
Rb 85.47 Rb.upf
Tl 204.38 Tl.upf
Au 196.97 Au.upf
ATOMIC_POSITIONS crystal
Rb 0.000 0.000 0.000
Tl 0.226 0.226 0.739
Tl 0.480 0.480 0.674
Tl 0.520 0.520 0.326
Tl 0.774 0.774 0.261
Au 0.000 0.000 0.500
Au 0.197 0.197 0.406
Au 0.298 0.298 0.083
Au 0.702 0.702 0.917
Au 0.803 0.803 0.594
CELL_PARAMETERS angstrom
6.245 -2.258 0.000
6.245 2.258 0.000
-3.748 0.000 9.534
```

Electronic total energy: -2.76 eV per atom
Calculated volume: 268.9 Å³/cell
Total magnetic moment: 0.00 μB per formula unit
Calculated formation energy: -7.5 kJ per mole of atoms



Record 2
Density functional theory data (PBE) for a relaxed structure of RbTl3Au2. Values from VASP.

The structure in Quantum ESPRESSO input format:
```
&SYSTEM
  ibrav = 0, nat = 12, ntyp = 3
/
ATOMIC_SPECIES
Rb 85.47 Rb.upf
Tl 204.38 Tl.upf
Au 196.97 Au.upf
ATOMIC_POSITIONS crystal
Rb 0.150 0.850 0.750
Rb 0.850 0.150 0.250
Tl 0.061 0.577 0.250
Tl 0.423 0.939 0.250
Tl 0.460 0.540 0.250
Tl 0.540 0.460 0.750
Tl 0.577 0.061 0.750
Tl 0.939 0.423 0.750
Au 0.250 0.250 0.000
Au 0.250 0.250 0.500
Au 0.750 0.750 0.000
Au 0.750 0.750 0.500
CELL_PARAMETERS angstrom
6.297 -5.028 0.000
6.297 5.028 0.000
0.000 0.000 5.783
```

Electronic total energy: -2.51 eV per atom
E above lowest polymorph: 43 meV per atom
Calculated volume: 366.3 Å³/cell
Total magnetic moment: 0.00 μB per formula unit
Calculated formation energy: -7.3 kJ per mole of atoms



Record 3
Density functional theory data (PBE) for a relaxed structure of Rb2Tl3Au4. Values from VASP.

The structure in Quantum ESPRESSO input format:
```
&SYSTEM
  ibrav = 0, nat = 18, ntyp = 3
/
ATOMIC_SPECIES
Rb 85.47 Rb.upf
Tl 204.38 Tl.upf
Au 196.97 Au.upf
ATOMIC_POSITIONS crystal
Rb 0.181 0.169 0.056
Rb 0.181 0.331 0.556
Rb 0.819 0.669 0.444
Rb 0.819 0.831 0.944
Tl 0.256 0.672 0.258
Tl 0.256 0.828 0.758
Tl 0.500 0.000 0.500
Tl 0.500 0.500 0.000
Tl 0.744 0.172 0.242
Tl 0.744 0.328 0.742
Au 0.091 0.550 0.884
Au 0.091 0.950 0.384
Au 0.485 0.617 0.629
Au 0.485 0.883 0.129
Au 0.515 0.117 0.871
Au 0.515 0.383 0.371
Au 0.909 0.050 0.616
Au 0.909 0.450 0.116
CELL_PARAMETERS angstrom
8.151 0.000 0.000
0.000 8.382 0.000
-2.639 0.000 7.724
```

Electronic total energy: -2.62 eV per atom
Calculated volume: 527.7 Å³/cell
Total magnetic moment: 0.00 μB per formula unit
Calculated formation energy: -15.0 kJ per mole of atoms



Record 4
Density functional theory data (PBE) for a relaxed structure of Rb5Tl4Au4. Values from VASP.

The structure in Quantum ESPRESSO input format:
```
&SYSTEM
  ibrav = 0, nat = 13, ntyp = 3
/
ATOMIC_SPECIES
Rb 85.47 Rb.upf
Tl 204.38 Tl.upf
Au 196.97 Au.upf
ATOMIC_POSITIONS crystal
Rb 0.000 0.000 0.000
Rb 0.293 0.639 0.932
Rb 0.361 0.293 0.653
Rb 0.639 0.707 0.347
Rb 0.707 0.361 0.068
Tl 0.107 0.432 0.539
Tl 0.432 0.893 0.326
Tl 0.568 0.107 0.674
Tl 0.893 0.568 0.461
Au 0.045 0.733 0.778
Au 0.267 0.045 0.312
Au 0.733 0.955 0.688
Au 0.955 0.267 0.222
CELL_PARAMETERS angstrom
-6.773 6.773 2.558
6.773 -6.773 2.558
6.773 6.773 -2.558
```

Electronic total energy: -2.28 eV per atom
Calculated volume: 469.3 Å³/cell
Total magnetic moment: 0.00 μB per formula unit
Calculated formation energy: -16.6 kJ per mole of atoms



Record 5
Density functional theory data (PBE) for a relaxed structure of Rb2TlAu3. Values from VASP.

The structure in Quantum ESPRESSO input format:
```
&SYSTEM
  ibrav = 0, nat = 12, ntyp = 3
/
ATOMIC_SPECIES
Rb 85.47 Rb.upf
Tl 204.38 Tl.upf
Au 196.97 Au.upf
ATOMIC_POSITIONS crystal
Rb 0.241 0.759 0.241
Rb 0.250 0.250 0.250
Rb 0.750 0.750 0.750
Rb 0.759 0.241 0.759
Tl 0.334 0.334 0.666
Tl 0.666 0.666 0.334
Au 0.163 0.672 0.837
Au 0.164 0.164 0.836
Au 0.328 0.837 0.672
Au 0.672 0.163 0.328
Au 0.836 0.836 0.164
Au 0.837 0.328 0.163
CELL_PARAMETERS angstrom
0.000 4.940 8.383
4.917 0.000 8.383
4.917 4.940 0.000
```

Electronic total energy: -2.55 eV per atom
E above lowest polymorph: 81 meV per atom
Calculated volume: 407.3 Å³/cell
Total magnetic moment: 0.00 μB per formula unit
Calculated formation energy: -19.0 kJ per mole of atoms



Record 6
Density functional theory data (PBE) for a relaxed structure of Rb3TlAu3. Values from VASP.

The structure in Quantum ESPRESSO input format:
```
&SYSTEM
  ibrav = 0, nat = 14, ntyp = 3
/
ATOMIC_SPECIES
Rb 85.47 Rb.upf
Tl 204.38 Tl.upf
Au 196.97 Au.upf
ATOMIC_POSITIONS crystal
Rb 0.153 0.847 0.000
Rb 0.233 0.767 0.500
Rb 0.380 0.380 0.169
Rb 0.620 0.620 0.831
Rb 0.767 0.233 0.500
Rb 0.847 0.153 0.000
Tl 0.246 0.246 0.616
Tl 0.754 0.754 0.384
Au 0.056 0.056 0.333
Au 0.157 0.483 0.812
Au 0.483 0.157 0.812
Au 0.517 0.843 0.188
Au 0.843 0.517 0.188
Au 0.944 0.944 0.667
CELL_PARAMETERS angstrom
4.813 -6.920 0.000
4.813 6.920 0.000
-0.403 0.000 8.540
```

Electronic total energy: -2.35 eV per atom
E above lowest polymorph: 73 meV per atom
Calculated volume: 568.9 Å³/cell
Total magnetic moment: 0.00 μB per formula unit
Calculated formation energy: -18.1 kJ per mole of atoms



Q: Among the records above, which one has the lowest calculated volume?
A: RbTl4Au5



Repeat the first record exactly.
Density functional theory data (PBE) for a relaxed structure of RbTl4Au5. Values from VASP.

The structure in Quantum ESPRESSO input format:
```
&SYSTEM
  ibrav = 0, nat = 10, ntyp = 3
/
ATOMIC_SPECIES
Rb 85.47 Rb.upf
Tl 204.38 Tl.upf
Au 196.97 Au.upf
ATOMIC_POSITIONS crystal
Rb 0.000 0.000 0.000
Tl 0.226 0.226 0.739
Tl 0.480 0.480 0.674
Tl 0.520 0.520 0.326
Tl 0.774 0.774 0.261
Au 0.000 0.000 0.500
Au 0.197 0.197 0.406
Au 0.298 0.298 0.083
Au 0.702 0.702 0.917
Au 0.803 0.803 0.594
CELL_PARAMETERS angstrom
6.245 -2.258 0.000
6.245 2.258 0.000
-3.748 0.000 9.534
```

Electronic total energy: -2.76 eV per atom
Calculated volume: 268.9 Å³/cell
Total magnetic moment: 0.00 μB per formula unit
Calculated formation energy: -7.5 kJ per mole of atoms